1.
The following is a PBE calculation of a relaxed structure of CdNi2Pt, from Alexandria via LeMat-Bulk.

Cell and atoms, written as CIF:
```
data_CdNi2Pt
_space_group_name_H-M_alt 'I -4 2 d'
_space_group_IT_number 122
_space_group_name_Hall 'I -4 2bw'
_cell_length_a 3.8290
_cell_length_b 3.8290
_cell_length_c 17.7751
_cell_angle_alpha 90.00
_cell_angle_beta 90.00
_cell_angle_gamma 90.00
loop_
_atom_site_label
_atom_site_fract_x
_atom_site_fract_y
_atom_site_fract_z
_atom_site_occupancy
Cd1 0.0000 0.0000 0.0000 1
Ni1 0.1966 0.2500 0.6250 1
Pt1 0.0000 0.0000 0.5000 1
```

Values from the calculation:
- Spin magnetization: 1.1 μB per formula unit
- Formation energy from the elements: 0.32 eV/atom
- Density of states at the Fermi level: 1.265 states/eV/atom
- Raw total energy: -4.31 eV per atom

2.
The following is a PBE calculation of a relaxed structure of CdNi2Pt2, from Alexandria via LeMat-Bulk.

Cell and atoms, written as CIF:
```
data_CdNi2Pt2
_space_group_name_H-M_alt 'P 4/m b m'
_space_group_IT_number 127
_space_group_name_Hall '-P 4 2ab'
_cell_length_a 7.3394
_cell_length_b 7.3394
_cell_length_c 2.7924
_cell_angle_alpha 90.00
_cell_angle_beta 90.00
_cell_angle_gamma 90.00
loop_
_atom_site_label
_atom_site_fract_x
_atom_site_fract_y
_atom_site_fract_z
_atom_site_occupancy
Cd1 0.0000 0.0000 0.0000 1
Ni1 0.1203 0.3797 0.0000 1
Pt1 0.1747 0.6747 0.5000 1
```

Values from the calculation:
- Spin magnetization: 1.6 μB per formula unit
- ΔE to the lowest computed polymorph: 0.0000 eV/atom
- Formation energy from the elements: -0.04 eV/atom
- Density of states at the Fermi level: 1.215 states/eV/atom
- Raw total energy: -4.95 eV per atom

3.
The following is a PBE calculation of a relaxed structure of Cd4NiPt15, from Alexandria via LeMat-Bulk.

Cell and atoms, written as CIF:
```
data_Cd4NiPt15
_space_group_name_H-M_alt 'P 4/m m m'
_space_group_IT_number 123
_space_group_name_Hall '-P 4 2'
_cell_length_a 4.0019
_cell_length_b 4.0019
_cell_length_c 20.1959
_cell_angle_alpha 90.00
_cell_angle_beta 90.00
_cell_angle_gamma 90.00
loop_
_atom_site_label
_atom_site_fract_x
_atom_site_fract_y
_atom_site_fract_z
_atom_site_occupancy
Cd1 0.0000 0.0000 0.1018 1
Cd2 0.0000 0.0000 0.3054 1
Ni1 0.0000 0.0000 0.5000 1
Pt1 0.0000 0.5000 0.0000 1
Pt2 0.0000 0.5000 0.2038 1
Pt3 0.0000 0.5000 0.4079 1
Pt4 0.5000 0.5000 0.1020 1
Pt5 0.5000 0.5000 0.3059 1
Pt6 0.5000 0.5000 0.5000 1
```

Values from the calculation:
- Spin magnetization: 0.7 μB per formula unit
- Formation energy from the elements: -0.16 eV/atom
- Density of states at the Fermi level: 1.240 states/eV/atom
- Raw total energy: -5.16 eV per atom

density of states at the Fermi level of number 1 (CdNi2Pt)?
1.265 states/eV/atom

What is the formula in the second record?
CdNi2Pt2